1.
CoTe2Rh | PBE-GGA | optimized geometry

Cell lengths 8.2850, 8.2850, 8.2850 Å; angles 24.61, 24.61, 24.61 degrees
Site moments in Bohr magnetons follow the coordinates.
Fractional coordinates of all 4 atoms:
Te  0.1053  0.1053  0.1053  -0.01
Te  0.8947  0.8947  0.8947  -0.01
Rh  0.0000  0.0000  0.0000  0.37
Co  0.5000  0.5000  0.5000  0.00

Summary:
As for the formation energy without anion corrections: 21 kJ/mol of atoms. Its uncorrected energy is -4.97 eV per atom. Its symmetry is R-3m.

2.
Li2Nd3Rh7 | PBE-GGA | optimized geometry

Cell lengths 5.3935, 5.3935, 9.0138 Å; angles 72.59, 72.59, 60.00 degrees
Fractional coordinates of all 12 atoms:
Rh  0.9220  0.4161  0.2458
Rh  0.0780  0.5839  0.7542
Rh  0.5000  0.5000  0.5000
Rh  0.5839  0.5839  0.7542
Rh  0.4161  0.4161  0.2458
Rh  0.5839  0.0780  0.7542
Rh  0.4161  0.9220  0.2458
Nd  0.0000  0.0000  0.0000
Nd  0.8596  0.8596  0.4212
Nd  0.1404  0.1404  0.5788
Li  0.6643  0.6643  0.0071
Li  0.3357  0.3357  0.9929

Summary:
The formation energy is -0.502 eV/atom. Its uncorrected energy is -6.30 eV per atom. Its symmetry is R-3m.

3.
LaSm3Tc | PBE-GGA | optimized geometry

Cell lengths 5.5067, 5.5067, 5.5067 Å; angles 90.00, 90.00, 90.00 degrees
Site moments in Bohr magnetons follow the coordinates.
Fractional coordinates of all 5 atoms:
La  0.5000  0.5000  0.5000  0.15
Sm  0.0000  0.5000  0.0000  0.05
Sm  0.0000  0.0000  0.5000  0.05
Sm  0.5000  0.0000  0.0000  0.05
Tc  0.0000  0.0000  0.0000  -0.04

Summary:
The formation energy is 0.160 eV/atom. Its uncorrected energy is -5.73 eV per atom. Its symmetry is Pm-3m. The energy above the most stable polymorph in this dataset comes out at 0.150 eV per atom.

4.
MnMoP | PBE-GGA | optimized geometry

Cell lengths 3.8957, 3.8957, 3.8957 Å; angles 60.00, 60.00, 60.00 degrees
Fractional coordinates of all 3 atoms:
P  0.5000  0.5000  0.5000
Mo  0.0000  0.0000  0.0000
Mn  0.7500  0.7500  0.7500

Summary:
The formation energy is -0.370 eV/atom. Its uncorrected energy is -8.84 eV per atom. Its symmetry is F-43m.

- What is the uncorrected energy in the second record?
  -6.30 eV per atom

- The lowest uncorrected energy belongs to which entry?
  MnMoP

- The highest uncorrected energy belongs to which entry?
  CoTe2Rh